Here is a relaxed YGa2Ag crystal from Alexandria via LeMat-Bulk. Energies are from PBE.

Unit cell a=4.1523 b=4.4079 c=4.4079 alpha=90.00 beta=90.00 gamma=90.00
Last column: nearest neighbours and their distance in Å.
Sites, in units of the cell vectors:
Ga 0.0000 0.5000 0.0000  4 Y 3.03, 4 Ag 3.03, 4 Ga 3.12
Ag 0.5000 0.5000 0.5000  8 Ga 3.03, 4 Y 3.12
Ga 0.0000 0.0000 0.5000  4 Y 3.03, 4 Ag 3.03, 4 Ga 3.12
Y 0.5000 0.0000 0.0000  8 Ga 3.03, 4 Ag 3.12

Total moment = 0.00 μB per formula unit
Calculated formation energy = -0.403 eV per atom
Total DFT energy (no corrections) = -4.245 eV per atom
ρ = 6.92 g cm⁻³
Symmetry = P4/mmm